Below is crystalline LaGa3Ag3 at its relaxed geometry, with properties calculated at the PBE-GGA level.

Results
The formation energy comes out at -0.312 eV/atom. Its density is 7.9 g/cm³.

a = 6.915 Å, b = 4.535 Å, c = 9.603 Å
α = 90.00°, β = 110.20°, γ = 90.00°
Sites, in units of the cell vectors:
La 0.129 0.250 0.271
La 0.871 0.750 0.729
Ga 0.134 0.250 0.643
Ga 0.253 0.750 0.540
Ga 0.276 0.750 0.083
Ga 0.724 0.250 0.917
Ga 0.747 0.250 0.460
Ga 0.866 0.750 0.357
Ag 0.189 0.250 0.932
Ag 0.414 0.750 0.841
Ag 0.497 0.750 0.379
Ag 0.503 0.250 0.621
Ag 0.586 0.250 0.159
Ag 0.811 0.750 0.068